# 1
Material: SrTeW2
Method: DFT, PBE-GGA
State: relaxed

Computed properties:
- V (Å³ per cell) = 86.5
- calculated density (g/cm³) = 11.19
- uncorrected formation energy (meV per atom) = 1019
- DOS at the Fermi energy (states/eV/atom) = 1.060

Unit cell a=4.8390 b=3.3949 c=5.3861 alpha=90.00 beta=102.19 gamma=90.00
Space group P2/m (No. 10)
Asymmetric unit:
Sr 0.0000 0.0000 0.0000 [1 per cell]
Te 0.5000 0.5000 0.0000 [1 per cell]
W 0.0000 0.5000 0.5000 [1 per cell]
W 0.5000 0.0000 0.5000 [1 per cell]

---

# 2
Material: SbMoIr4
Method: DFT, PBE-GGA
State: relaxed

Computed properties:
- V (Å³ per cell) = 404.7
- calculated density (g/cm³) = 16.19
- uncorrected formation energy (meV per atom) = 477
- DOS at the Fermi energy (states/eV/atom) = 1.609

Unit cell a=7.3971 b=7.3971 c=7.3971 alpha=90.00 beta=90.00 gamma=90.00
Space group F-43m (No. 216)
Asymmetric unit:
Sb 0.0000 0.0000 0.0000 [4 per cell]
Mo 0.2500 0.2500 0.7500 [4 per cell]
Ir 0.1245 0.1245 0.3755 [16 per cell]

---

# 3
Material: AcCeDyAg
Method: DFT, PBE-GGA
State: relaxed

Computed properties:
- V (Å³ per cell) = 477.0
- calculated density (g/cm³) = 8.88
- DOS at the Fermi energy (states/eV/atom) = 2.088
- energy of formation from the pure elements (kcal/mol of atoms) = 5.0

Unit cell a=7.8132 b=7.8132 c=7.8132 alpha=90.00 beta=90.00 gamma=90.00
Space group F-43m (No. 216)
Asymmetric unit:
Ac 0.0000 0.0000 0.0000 [4 per cell]
Ce 0.2500 0.2500 0.2500 [4 per cell]
Dy 0.2500 0.2500 0.7500 [4 per cell]
Ag 0.0000 0.0000 0.5000 [4 per cell]

---

# 4
Material: Ga2H5Pd12
Method: DFT, PBE-GGA
State: relaxed

Computed properties:
- V (Å³ per cell) = 482.4
- final energy (eV per cell) = -174.79
- calculated density (g/cm³) = 9.79
- DOS at the Fermi energy (states/eV/atom) = 0.435

Unit cell a=10.4864 b=5.6799 c=8.1554 alpha=90.00 beta=96.78 gamma=90.00
Space group C2/m (No. 12)
Asymmetric unit:
Ga 0.0000 0.2467 0.0000 [4 per cell]
H 0.0000 0.0000 0.5000 [2 per cell]
H 0.1976 0.5000 0.8652 [4 per cell]
H 0.2363 0.5000 0.4931 [4 per cell]
Pd 0.0326 0.0000 0.7588 [4 per cell]
Pd 0.0325 0.5000 0.7584 [4 per cell]
Pd 0.1259 0.2518 0.4928 [8 per cell]
Pd 0.2179 0.2570 0.1763 [8 per cell]

---

> The highest DOS at the Fermi energy belongs to which entry?

AcCeDyAg